1.
The following is a PBE calculation of a relaxed La2CeYN4 crystal, from Alexandria.

Properties
The space group is P2/m, No. 10. The calculation puts the uncorrected formation energy at -1.455 eV per atom. The value obtained for the final energy is -0.309 hartree per atom.

Cell lengths 3.6249, 6.2434, 6.3144 Å; angles 109.19, 90.00, 90.00 degrees
Positions (direct):
1 N 0.5000 0.2411 0.2279
2 Ce 0.0000 0.0000 0.0000
3 N 0.0000 0.7475 0.2310
4 N 0.0000 0.2525 0.7690
5 La 0.0000 0.5000 0.5000
6 La 0.5000 0.0000 0.5000
7 N 0.5000 0.7589 0.7721
8 Y 0.5000 0.5000 0.0000


2.
The following is a PBE calculation of a relaxed AcGe2Os crystal, from Alexandria.

Properties
The energy relative to the lowest polymorph listed for this composition is 42 meV per atom. The space group is C2/m, No. 12. The value obtained for the final energy is -0.240 hartree per atom.

Cell lengths 4.2262, 6.0527, 4.3352 Å; angles 68.06, 60.85, 69.57 degrees
Positions (direct):
1 Ac 0.7500 0.7500 0.7500
2 Ge 0.5367 0.3834 0.5435
3 Ge 0.9633 0.1166 0.9565
4 Os 0.2500 0.2500 0.2500